## TeAsSN2 (GGA-PBE)

Data for crystalline TeAsSN2 at its relaxed geometry.

Properties
The calculation puts the raw total energy at -4.071 eV per atom. For the formation energy from raw total energies, the calculation gives 1.6427 eV per atom. The density of states at the Fermi level is 0.91 states/eV per atom. The energy above the most stable polymorph in this dataset comes out at 389 meV per atom.

a = 3.6847 Å, b = 3.6847 Å, c = 7.7567 Å
α = 90.00°, β = 90.00°, γ = 90.00°
Last column: nearest neighbours and their distance in Å.
Space group P4/mmm (No. 123)
Inequivalent atoms, fractional coordinates:
1 Te 0.0000 0.0000 0.0000  4 As 2.61
2 As 0.5000 0.5000 0.0000  4 Te 2.61
3 S 0.0000 0.0000 0.5000  4 N 1.84
4 N 0.0000 0.5000 0.5000  2 S 1.84

## TeAsSN2 (GGA-PBE)

Data for crystalline TeAsSN2 at its relaxed geometry.

Properties
The calculation puts the raw total energy at -4.423 eV per atom. For the formation energy from raw total energies, the calculation gives 1.2908 eV per atom. The density of states at the Fermi level is 0.50 states/eV per atom. The energy above the most stable polymorph in this dataset comes out at 37 meV per atom.

a = 3.8933 Å, b = 3.8933 Å, c = 4.8242 Å
α = 90.00°, β = 90.00°, γ = 90.00°
Last column: nearest neighbours and their distance in Å.
Space group P4/mmm (No. 123)
Inequivalent atoms, fractional coordinates:
1 Te 0.0000 0.0000 0.0000  4 S 2.75
2 As 0.5000 0.5000 0.5000  4 N 1.95
3 S 0.5000 0.5000 0.0000  2 As 2.41
4 N 0.0000 0.5000 0.5000  2 As 1.95

## Te2AsSN (GGA-PBE)

Data for crystalline Te2AsSN at its relaxed geometry.

Properties
The calculation puts the raw total energy at -3.748 eV per atom. For the formation energy from raw total energies, the calculation gives 0.9288 eV per atom. The density of states at the Fermi level is 0.72 states/eV per atom. The energy above the most stable polymorph in this dataset comes out at 0 meV per atom.

a = 5.7537 Å, b = 5.7537 Å, c = 3.2986 Å
α = 90.00°, β = 90.00°, γ = 90.00°
Last column: nearest neighbours and their distance in Å.
Space group P4/mmm (No. 123)
Inequivalent atoms, fractional coordinates:
1 Te 0.0000 0.5000 0.0000  2 S 2.88
2 As 0.0000 0.0000 0.5000  2 As 3.30, 8 Te 3.32
3 S 0.5000 0.5000 0.0000  2 N 1.65
4 N 0.5000 0.5000 0.5000  2 S 1.65